## P
Compound: VReHRu2
Source: the Alexandria database
Functional: PBE-GGA
Structure: optimized geometry

Cell and atoms, written as CIF:
```
data_VReHRu2
_chemical_formula_sum 'V1 Re1 H1 Ru2'
_symmetry_space_group_name_H-M 'P 4/m m m'
_symmetry_Int_Tables_number 123
_symmetry_space_group_name_Hall '-P 4 2'
_cell_length_a 3.881
_cell_length_b 3.881
_cell_length_c 3.895
_cell_angle_alpha 90.00
_cell_angle_beta 90.00
_cell_angle_gamma 90.00
loop_
_atom_site_label
_atom_site_type_symbol
_atom_site_fract_x
_atom_site_fract_y
_atom_site_fract_z
V1 V 0.000 0.000 0.000
Re1 Re 0.500 0.500 0.000
H1 H 0.500 0.500 0.500
Ru1 Ru 0.000 0.500 0.500
```

Computed properties:
Total magnetization in μB per formula unit: 0.00
D(E_F) in states/eV/atom: 1.033

=====

## Q
Compound: VReHRu2
Source: the Alexandria database
Functional: PBE-GGA
Structure: optimized geometry

Cell and atoms, written as CIF:
```
data_VReHRu2
_chemical_formula_sum 'V1 Re1 H1 Ru2'
_symmetry_space_group_name_H-M 'P 4/m m m'
_symmetry_Int_Tables_number 123
_symmetry_space_group_name_Hall '-P 4 2'
_cell_length_a 3.877
_cell_length_b 3.877
_cell_length_c 3.866
_cell_angle_alpha 90.00
_cell_angle_beta 90.00
_cell_angle_gamma 90.00
loop_
_atom_site_label
_atom_site_type_symbol
_atom_site_fract_x
_atom_site_fract_y
_atom_site_fract_z
V1 V 0.000 0.000 0.000
Re1 Re 0.500 0.500 0.000
H1 H 0.000 0.000 0.500
Ru1 Ru 0.000 0.500 0.500
```

Computed properties:
Total magnetization in μB per formula unit: 0.00
D(E_F) in states/eV/atom: 0.936

=====

The structure with the greatest stability is Q.

=====

## P
Compound: Re2HRuW
Source: the Alexandria database
Functional: PBE-GGA
Structure: optimized geometry

Cell and atoms, written as CIF:
```
data_Re2HRuW
_chemical_formula_sum 'Re2 H1 Ru1 W1'
_symmetry_space_group_name_H-M 'P 4/m m m'
_symmetry_Int_Tables_number 123
_symmetry_space_group_name_Hall '-P 4 2'
_cell_length_a 3.942
_cell_length_b 3.942
_cell_length_c 3.999
_cell_angle_alpha 90.00
_cell_angle_beta 90.00
_cell_angle_gamma 90.00
loop_
_atom_site_label
_atom_site_type_symbol
_atom_site_fract_x
_atom_site_fract_y
_atom_site_fract_z
Re1 Re 0.000 0.500 0.000
H1 H 0.000 0.000 0.000
Ru1 Ru 0.500 0.500 0.500
W1 W 0.000 0.000 0.500
```

Computed properties:
Total magnetization in μB per formula unit: 0.00
D(E_F) in states/eV/atom: 0.780

=====

## Q
Compound: Re2HRuW
Source: the Alexandria database
Functional: PBE-GGA
Structure: optimized geometry

Cell and atoms, written as CIF:
```
data_Re2HRuW
_chemical_formula_sum 'Re2 H1 Ru1 W1'
_symmetry_space_group_name_H-M 'P 4/m m m'
_symmetry_Int_Tables_number 123
_symmetry_space_group_name_Hall '-P 4 2'
_cell_length_a 3.964
_cell_length_b 3.964
_cell_length_c 3.943
_cell_angle_alpha 90.00
_cell_angle_beta 90.00
_cell_angle_gamma 90.00
loop_
_atom_site_label
_atom_site_type_symbol
_atom_site_fract_x
_atom_site_fract_y
_atom_site_fract_z
Re1 Re 0.000 0.500 0.000
H1 H 0.000 0.000 0.000
Ru1 Ru 0.000 0.000 0.500
W1 W 0.500 0.500 0.500
```

Computed properties:
Total magnetization in μB per formula unit: 0.00
D(E_F) in states/eV/atom: 0.791

=====

The structure with the greatest stability is Q.

=====

## P
Compound: ReHRuW2
Source: the Alexandria database
Functional: PBE-GGA
Structure: optimized geometry

Cell and atoms, written as CIF:
```
data_ReHRuW2
_chemical_formula_sum 'Re1 H1 Ru1 W2'
_symmetry_space_group_name_H-M 'P 4/m m m'
_symmetry_Int_Tables_number 123
_symmetry_space_group_name_Hall '-P 4 2'
_cell_length_a 4.015
_cell_length_b 4.015
_cell_length_c 3.923
_cell_angle_alpha 90.00
_cell_angle_beta 90.00
_cell_angle_gamma 90.00
loop_
_atom_site_label
_atom_site_type_symbol
_atom_site_fract_x
_atom_site_fract_y
_atom_site_fract_z
Re1 Re 0.000 0.000 0.000
H1 H 0.500 0.500 0.500
Ru1 Ru 0.500 0.500 0.000
W1 W 0.000 0.500 0.500
```

Computed properties:
Total magnetization in μB per formula unit: 0.00
D(E_F) in states/eV/atom: 0.711

=====

## Q
Compound: ReHRuW2
Source: the Alexandria database
Functional: PBE-GGA
Structure: optimized geometry

Cell and atoms, written as CIF:
```
data_ReHRuW2
_chemical_formula_sum 'Re1 H1 Ru1 W2'
_symmetry_space_group_name_H-M 'P 4/m m m'
_symmetry_Int_Tables_number 123
_symmetry_space_group_name_Hall '-P 4 2'
_cell_length_a 4.011
_cell_length_b 4.011
_cell_length_c 3.939
_cell_angle_alpha 90.00
_cell_angle_beta 90.00
_cell_angle_gamma 90.00
loop_
_atom_site_label
_atom_site_type_symbol
_atom_site_fract_x
_atom_site_fract_y
_atom_site_fract_z
Re1 Re 0.000 0.000 0.000
H1 H 0.000 0.000 0.500
Ru1 Ru 0.500 0.500 0.000
W1 W 0.000 0.500 0.500
```

Computed properties:
Total magnetization in μB per formula unit: 0.00
D(E_F) in states/eV/atom: 0.630

=====

The structure with the greatest stability is P.

=====

## P
Compound: ReH3S
Source: the Alexandria database
Functional: PBE-GGA
Structure: optimized geometry

Cell and atoms, written as CIF:
```
data_ReH3S
_chemical_formula_sum 'Re1 H3 S1'
_symmetry_space_group_name_H-M 'P m -3 m'
_symmetry_Int_Tables_number 221
_symmetry_space_group_name_Hall '-P 4 2 3'
_cell_length_a 3.373
_cell_length_b 3.373
_cell_length_c 3.373
_cell_angle_alpha 90.00
_cell_angle_beta 90.00
_cell_angle_gamma 90.00
loop_
_atom_site_label
_atom_site_type_symbol
_atom_site_fract_x
_atom_site_fract_y
_atom_site_fract_z
Re1 Re 0.000 0.000 0.000
H1 H 0.000 0.500 0.500
S1 S 0.500 0.500 0.500
```

Computed properties:
Total magnetization in μB per formula unit: 0.00
D(E_F) in states/eV/atom: 0.806

=====

## Q
Compound: ReH3S
Source: the Alexandria database
Functional: PBE-GGA
Structure: optimized geometry

Cell and atoms, written as CIF:
```
data_ReH3S
_chemical_formula_sum 'Re1 H3 S1'
_symmetry_space_group_name_H-M 'P m -3 m'
_symmetry_Int_Tables_number 221
_symmetry_space_group_name_Hall '-P 4 2 3'
_cell_length_a 3.525
_cell_length_b 3.525
_cell_length_c 3.525
_cell_angle_alpha 90.00
_cell_angle_beta 90.00
_cell_angle_gamma 90.00
loop_
_atom_site_label
_atom_site_type_symbol
_atom_site_fract_x
_atom_site_fract_y
_atom_site_fract_z
Re1 Re 0.000 0.000 0.000
H1 H 0.000 0.000 0.500
S1 S 0.500 0.500 0.500
```

Computed properties:
Total magnetization in μB per formula unit: 0.00
D(E_F) in states/eV/atom: 0.584

=====

The structure with the greatest stability is Q.

=====

## P
Compound: Re2HS2
Source: the Alexandria database
Functional: PBE-GGA
Structure: optimized geometry

Cell and atoms, written as CIF:
```
data_Re2HS2
_chemical_formula_sum 'Re4 H2 S4'
_symmetry_space_group_name_H-M 'P 4/m b m'
_symmetry_Int_Tables_number 127
_symmetry_space_group_name_Hall '-P 4 2ab'
_cell_length_a 6.834
_cell_length_b 6.834
_cell_length_c 2.878
_cell_angle_alpha 90.00
_cell_angle_beta 90.00
_cell_angle_gamma 90.00
loop_
_atom_site_label
_atom_site_type_symbol
_atom_site_fract_x
_atom_site_fract_y
_atom_site_fract_z
Re1 Re 0.149 0.351 0.000
H1 H 0.000 0.000 0.500
S1 S 0.146 0.646 0.500
```

Computed properties:
Total magnetization in μB per formula unit: 0.00
D(E_F) in states/eV/atom: 0.557

=====

## Q
Compound: Re2HS2
Source: the Alexandria database
Functional: PBE-GGA
Structure: optimized geometry

Cell and atoms, written as CIF:
```
data_Re2HS2
_chemical_formula_sum 'Re4 H2 S4'
_symmetry_space_group_name_H-M 'P 4/m b m'
_symmetry_Int_Tables_number 127
_symmetry_space_group_name_Hall '-P 4 2ab'
_cell_length_a 6.749
_cell_length_b 6.749
_cell_length_c 2.922
_cell_angle_alpha 90.00
_cell_angle_beta 90.00
_cell_angle_gamma 90.00
loop_
_atom_site_label
_atom_site_type_symbol
_atom_site_fract_x
_atom_site_fract_y
_atom_site_fract_z
Re1 Re 0.157 0.343 0.000
H1 H 0.000 0.000 0.000
S1 S 0.147 0.647 0.500
```

Computed properties:
Total magnetization in μB per formula unit: 0.00
D(E_F) in states/eV/atom: 0.787

=====

## R
Compound: Re2HS2
Source: the Alexandria database
Functional: PBE-GGA
Structure: optimized geometry

Cell and atoms, written as CIF:
```
data_Re2HS2
_chemical_formula_sum 'Re4 H2 S4'
_symmetry_space_group_name_H-M 'I 4/m m m'
_symmetry_Int_Tables_number 139
_symmetry_space_group_name_Hall '-I 4 2'
_cell_length_a 4.749
_cell_length_b 4.749
_cell_length_c 6.577
_cell_angle_alpha 90.00
_cell_angle_beta 90.00
_cell_angle_gamma 90.00
loop_
_atom_site_label
_atom_site_type_symbol
_atom_site_fract_x
_atom_site_fract_y
_atom_site_fract_z
Re1 Re 0.000 0.000 0.175
H1 H 0.000 0.000 0.500
S1 S 0.000 0.500 0.250
```

Computed properties:
Total magnetization in μB per formula unit: 0.14
D(E_F) in states/eV/atom: 0.985

=====

## S
Compound: Re2HS2
Source: the Alexandria database
Functional: PBE-GGA
Structure: optimized geometry

Cell and atoms, written as CIF:
```
data_Re2HS2
_chemical_formula_sum 'Re4 H2 S4'
_symmetry_space_group_name_H-M 'I 4/m m m'
_symmetry_Int_Tables_number 139
_symmetry_space_group_name_Hall '-I 4 2'
_cell_length_a 3.804
_cell_length_b 3.804
_cell_length_c 13.645
_cell_angle_alpha 90.00
_cell_angle_beta 90.00
_cell_angle_gamma 90.00
loop_
_atom_site_label
_atom_site_type_symbol
_atom_site_fract_x
_atom_site_fract_y
_atom_site_fract_z
Re1 Re 0.000 0.500 0.250
H1 H 0.000 0.000 0.000
S1 S 0.000 0.000 0.357
```

Computed properties:
Total magnetization in μB per formula unit: 1.01
D(E_F) in states/eV/atom: 0.497

=====

The structure with the greatest stability is R.

=====

## P
Compound: ReHS3
Source: the Alexandria database
Functional: PBE-GGA
Structure: optimized geometry

Cell and atoms, written as CIF:
```
data_ReHS3
_chemical_formula_sum 'Re1 H1 S3'
_symmetry_space_group_name_H-M 'P m -3 m'
_symmetry_Int_Tables_number 221
_symmetry_space_group_name_Hall '-P 4 2 3'
_cell_length_a 4.627
_cell_length_b 4.627
_cell_length_c 4.627
_cell_angle_alpha 90.00
_cell_angle_beta 90.00
_cell_angle_gamma 90.00
loop_
_atom_site_label
_atom_site_type_symbol
_atom_site_fract_x
_atom_site_fract_y
_atom_site_fract_z
Re1 Re 0.000 0.000 0.000
H1 H 0.500 0.500 0.500
S1 S 0.000 0.000 0.500
```

Computed properties:
Total magnetization in μB per formula unit: 0.97
D(E_F) in states/eV/atom: 0.697

=====

## Q
Compound: ReHS3
Source: the Alexandria database
Functional: PBE-GGA
Structure: optimized geometry

Cell and atoms, written as CIF:
```
data_ReHS3
_chemical_formula_sum 'Re1 H1 S3'
_symmetry_space_group_name_H-M 'P m -3 m'
_symmetry_Int_Tables_number 221
_symmetry_space_group_name_Hall '-P 4 2 3'
_cell_length_a 3.934
_cell_length_b 3.934
_cell_length_c 3.934
_cell_angle_alpha 90.00
_cell_angle_beta 90.00
_cell_angle_gamma 90.00
loop_
_atom_site_label
_atom_site_type_symbol
_atom_site_fract_x
_atom_site_fract_y
_atom_site_fract_z
Re1 Re 0.000 0.000 0.000
H1 H 0.500 0.500 0.500
S1 S 0.000 0.500 0.500
```

Computed properties:
Total magnetization in μB per formula unit: 0.00
D(E_F) in states/eV/atom: 0.929

=====

The structure with the greatest stability is P.